# 1
# Pr2PuGe3Ir4 (PBE-GGA, relaxed)
data_Pr2PuGe3Ir4
_chemical_formula_sum 'Pr2 Pu1 Ge3 Ir4'
_cell_length_a 4.2512
_cell_length_b 4.2512
_cell_length_c 11.0784
_cell_angle_alpha 90.00
_cell_angle_beta 90.00
_cell_angle_gamma 90.00
_symmetry_space_group_name_H-M 'P -4 m 2'
_symmetry_Int_Tables_number 115
loop_
_symmetry_equiv_pos_as_xyz
'x,y,z'
'y,-x,-z'
'-x,-y,z'
'-y,x,-z'
'-x,y,z'
'-y,-x,-z'
'x,-y,z'
'y,x,-z'
loop_
_atom_site_label
_atom_site_fract_x
_atom_site_fract_y
_atom_site_fract_z
Pr1 0.0000 0.5000 0.2314
Pu1 0.0000 0.0000 0.5000
Ge1 0.0000 0.5000 0.8777
Ge2 0.5000 0.5000 0.5000
Ir1 0.0000 0.0000 0.0000
Ir2 0.0000 0.5000 0.6532
Ir3 0.5000 0.5000 0.0000
# - theoretical density (g/cm³) = 12.54
# - total energy (eV/atom) = -8.034
# - spin magnetization (μB/cell) = 4.8
# - formation energy from the elements (kJ per mole of atoms) = -69.0



# 2
# PmPrNd2Er5 (PBE-GGA, relaxed)
data_PmPrNd2Er5
_chemical_formula_sum 'Pm4 Pr4 Nd8 Er20'
_cell_length_a 8.7191
_cell_length_b 8.7191
_cell_length_c 15.5326
_cell_angle_alpha 90.00
_cell_angle_beta 90.00
_cell_angle_gamma 90.00
_symmetry_space_group_name_H-M 'I 4/m c m'
_symmetry_Int_Tables_number 140
_symmetry_space_group_name_Hall '-I 4 2c'
loop_
_atom_site_label
_atom_site_fract_x
_atom_site_fract_y
_atom_site_fract_z
Pm1 0.0000 0.5000 0.2500
Pr1 0.0000 0.0000 0.2500
Nd1 0.1173 0.3827 0.0000
Er1 0.0000 0.0000 0.0000
Er2 0.2094 0.2906 0.3629
# - theoretical density (g/cm³) = 7.94
# - total energy (eV/atom) = -4.403
# - spin magnetization (μB/cell) = 0.0
# - formation energy from the elements (kJ per mole of atoms) = 24.1



# 3
# TbEr2In (PBE-GGA, relaxed)
data_TbEr2In
_chemical_formula_sum 'Tb1 Er2 In1'
_cell_length_a 3.5683
_cell_length_b 3.5683
_cell_length_c 9.0997
_cell_angle_alpha 90.00
_cell_angle_beta 90.00
_cell_angle_gamma 90.00
_symmetry_space_group_name_H-M 'P 4/m m m'
_symmetry_Int_Tables_number 123
_symmetry_space_group_name_Hall '-P 4 2'
loop_
_atom_site_label
_atom_site_fract_x
_atom_site_fract_y
_atom_site_fract_z
Tb1 0.0000 0.0000 0.0000
Er1 0.5000 0.5000 0.2732
In1 0.0000 0.0000 0.5000
# - excess energy over the best structure of this formula in the dataset (meV per atom) = 30
# - theoretical density (g/cm³) = 8.72
# - total energy (eV/atom) = -4.358
# - spin magnetization (μB/cell) = 0.0
# - formation energy from the elements (kJ per mole of atoms) = -22.6



Please write out number 3 again, unchanged.
# TbEr2In (PBE-GGA, relaxed)
data_TbEr2In
_chemical_formula_sum 'Tb1 Er2 In1'
_cell_length_a 3.5683
_cell_length_b 3.5683
_cell_length_c 9.0997
_cell_angle_alpha 90.00
_cell_angle_beta 90.00
_cell_angle_gamma 90.00
_symmetry_space_group_name_H-M 'P 4/m m m'
_symmetry_Int_Tables_number 123
_symmetry_space_group_name_Hall '-P 4 2'
loop_
_atom_site_label
_atom_site_fract_x
_atom_site_fract_y
_atom_site_fract_z
Tb1 0.0000 0.0000 0.0000
Er1 0.5000 0.5000 0.2732
In1 0.0000 0.0000 0.5000
# - excess energy over the best structure of this formula in the dataset (meV per atom) = 30
# - theoretical density (g/cm³) = 8.72
# - total energy (eV/atom) = -4.358
# - spin magnetization (μB/cell) = 0.0
# - formation energy from the elements (kJ per mole of atoms) = -22.6